Entry 1:
## P2S3 (PBEsol)

Data for a relaxed P2S3 crystal.

Lattice parameters (Å, degrees): 5.574 11.801 3.166 90.00 90.00 90.00
Fractional positions:
S: 0.107 0.593 0.007
S: 0.576 0.500 0.507
S: 0.107 0.407 0.007
P: 0.459 0.363 0.007
P: 0.959 0.863 0.993
S: 0.607 0.093 0.993
S: 0.607 0.907 0.993
S: 0.076 0.000 0.493
P: 0.459 0.637 0.007
P: 0.959 0.137 0.993

Properties
The calculation puts the energy above the most stable polymorph in this dataset at 331 meV/atom. As for the magnetic moment: 0.0 μB per formula unit. The formation energy without anion corrections comes out at 0.179 eV per atom.

---

Entry 2:
## P2S3 (PBEsol)

Data for a relaxed P2S3 crystal.

Lattice parameters (Å, degrees): 4.189 9.504 10.776 90.00 90.69 90.00
Fractional positions:
P: 0.624 0.182 0.013
P: 0.122 0.300 0.232
P: 0.124 0.318 0.513
P: 0.622 0.200 0.732
P: 0.876 0.682 0.487
S: 0.043 0.870 0.401
S: 0.457 0.393 0.650
S: 0.043 0.893 0.850
S: 0.957 0.130 0.599
S: 0.096 0.706 0.122
S: 0.543 0.607 0.350
P: 0.378 0.800 0.268
S: 0.957 0.107 0.150
S: 0.543 0.630 0.901
S: 0.457 0.370 0.099
S: 0.596 0.794 0.622
S: 0.404 0.206 0.378
P: 0.878 0.700 0.768
S: 0.904 0.294 0.878
P: 0.376 0.818 0.987

Properties
The calculation puts the energy above the most stable polymorph in this dataset at 0 meV/atom. As for the magnetic moment: 0.0 μB per formula unit. The formation energy without anion corrections comes out at -0.152 eV per atom.

---

Entry 3:
## P2S3 (PBEsol)

Data for a relaxed P2S3 crystal.

Lattice parameters (Å, degrees): 6.464 6.817 10.519 90.00 90.00 94.49
Fractional positions:
S: 0.553 0.263 0.589
P: 0.770 0.719 0.111
S: 0.082 0.259 0.450
P: 0.680 0.416 0.750
S: 0.887 0.927 0.250
P: 0.198 0.533 0.750
S: 0.447 0.737 0.411
S: 0.505 0.334 0.250
P: 0.320 0.584 0.250
S: 0.082 0.259 0.050
S: 0.447 0.737 0.089
S: 0.113 0.073 0.750
S: 0.495 0.666 0.750
S: 0.553 0.263 0.911
S: 0.918 0.741 0.550
P: 0.230 0.281 0.611
P: 0.770 0.719 0.389
P: 0.802 0.467 0.250
S: 0.918 0.741 0.950
P: 0.230 0.281 0.889

Properties
The calculation puts the energy above the most stable polymorph in this dataset at 5 meV/atom. As for the magnetic moment: 0.0 μB per formula unit. The formation energy without anion corrections comes out at -0.147 eV per atom.

---

Entry 4:
## Sb2PS (PBEsol)

Data for a relaxed Sb2PS crystal.

Lattice parameters (Å, degrees): 4.827 4.827 4.827 60.00 60.00 60.00
Fractional positions:
Sb: 0.750 0.750 0.750
Sb: 0.250 0.250 0.250
P: 0.000 0.000 0.000
S: 0.500 0.500 0.500

Properties
As for the magnetic moment: 0.0 μB per formula unit. The formation energy without anion corrections comes out at 0.200 eV per atom.

---

Entry 5:
## TaSbPS2 (PBEsol)

Data for a relaxed TaSbPS2 crystal.

Lattice parameters (Å, degrees): 4.789 4.789 4.873 90.00 90.00 90.00
Last column: magnetic moment on the atom in μB.
Fractional positions:
P: 0.000 0.000 0.500  -0.14
S: 0.000 0.500 0.000  -0.11
S: 0.500 0.000 0.000  -0.11
Sb: 0.000 0.000 0.000  0.00
Ta: 0.500 0.500 0.500  1.57

Properties
As for the magnetic moment: 1.7 μB per formula unit. The formation energy without anion corrections comes out at 1.229 eV per atom.

---

Entry 6:
## SbTePS2 (PBEsol)

Data for a relaxed SbTePS2 crystal.

Lattice parameters (Å, degrees): 4.842 4.842 5.147 90.00 90.00 90.00
Fractional positions:
Te: 0.500 0.500 0.500
P: 0.000 0.000 0.500
S: 0.000 0.500 0.000
S: 0.500 0.000 0.000
Sb: 0.000 0.000 0.000

Properties
As for the magnetic moment: 0.0 μB per formula unit. The formation energy without anion corrections comes out at 0.702 eV per atom.

---

| no. | ρ (g cm⁻³) |
| --- | --- |
| 1 | 2.52 |
| 2 | 2.45 |
| 3 | 2.27 |
| 4 | 6.40 |
| 5 | 5.91 |
| 6 | 4.74 |